Below is crystalline ZrTeH2 at its relaxed geometry, with properties calculated at the GGA-PBE level.

VASP energy = -5.189 eV/atom
total magnetic moment = 0.00 μB per cell

a = 5.4433 Å, b = 5.4433 Å, c = 5.4433 Å
α = 38.58°, β = 38.58°, γ = 38.58°
Closest atoms and distances in Å follow each position.
Sites, in units of the cell vectors:
Zr 0.0000 0.0000 0.0000  6 H 2.09-2.20
Te 0.1997 0.1997 0.1997  1 H 2.73, 4 Zr 2.89-3.02
H 0.3808 0.3808 0.3808  3 H 2.13, 3 Zr 2.20
H 0.6828 0.6828 0.6828  3 Zr 2.09, 3 H 2.13



Below is crystalline ThH at its relaxed geometry, with properties calculated at the GGA-PBE level.

VASP energy = -5.658 eV/atom
total magnetic moment = 0.00 μB per cell

a = 3.6726 Å, b = 3.6726 Å, c = 3.6726 Å
α = 59.47°, β = 59.47°, γ = 59.47°
Closest atoms and distances in Å follow each position.
Sites, in units of the cell vectors:
Th 0.0000 0.0000 0.0000  6 H 2.59
H 0.5000 0.5000 0.5000  6 Th 2.59



Below is crystalline ThH at its relaxed geometry, with properties calculated at the GGA-PBE level.

VASP energy = -5.594 eV/atom
total magnetic moment = 0.12 μB per cell

a = 3.7834 Å, b = 3.7834 Å, c = 3.7834 Å
α = 60.00°, β = 60.00°, γ = 60.00°
Closest atoms and distances in Å follow each position.
Sites, in units of the cell vectors:
Th 0.0000 0.0000 0.0000  4 H 2.32
H 0.2500 0.2500 0.2500  4 Th 2.32



Below is crystalline Th2H at its relaxed geometry, with properties calculated at the GGA-PBE level.

VASP energy = -5.024 eV/atom
total magnetic moment = 1.19 μB per cell

a = 7.0756 Å, b = 7.0756 Å, c = 7.0756 Å
α = 60.00°, β = 60.00°, γ = 60.00°
Closest atoms and distances in Å follow each position.
Sites, in units of the cell vectors:
Th 0.0000 0.0000 0.0000  2 H 2.17
Th 0.0000 0.0000 0.5000  2 H 2.17
Th 0.0000 0.5000 0.0000  2 H 2.17
Th 0.5000 0.0000 0.0000  2 H 2.17
H 0.1250 0.1250 0.1250  4 Th 2.17
H 0.8750 0.8750 0.8750  4 Th 2.17



Below is crystalline ThH at its relaxed geometry, with properties calculated at the GGA-PBE level.

VASP energy = -5.658 eV/atom
total magnetic moment = 0.00 μB per cell

a = 3.6555 Å, b = 3.6555 Å, c = 3.6555 Å
α = 60.00°, β = 60.00°, γ = 60.00°
Closest atoms and distances in Å follow each position.
Sites, in units of the cell vectors:
Th 0.0000 0.0000 0.0000  6 H 2.58
H 0.5000 0.5000 0.5000  6 Th 2.58



Below is crystalline ThH at its relaxed geometry, with properties calculated at the GGA-PBE level.

VASP energy = -5.430 eV/atom
total magnetic moment = 0.05 μB per cell

a = 3.4493 Å, b = 3.4493 Å, c = 3.3661 Å
α = 90.00°, β = 90.00°, γ = 120.00°
Closest atoms and distances in Å follow each position.
Sites, in units of the cell vectors:
Th 0.0000 0.0000 0.0000  6 H 2.61
H 0.3333 0.6667 0.5000  6 Th 2.61



Below is crystalline Tm2TlH2 at its relaxed geometry, with properties calculated at the GGA-PBE level.

VASP energy = -4.182 eV/atom
total magnetic moment = 0.00 μB per cell

a = 6.6079 Å, b = 6.6079 Å, c = 6.6079 Å
α = 147.41°, β = 147.41°, γ = 46.76°
Closest atoms and distances in Å follow each position.
Sites, in units of the cell vectors:
Tm 0.1524 0.1524 0.0000  4 H 2.20
Tm 0.8476 0.8476 0.0000  4 H 2.20
Tl 0.5000 0.5000 0.0000  8 Tm 3.21, 8 H 3.55
H 0.2500 0.7500 0.5000  4 Tm 2.20
H 0.7500 0.2500 0.5000  4 Tm 2.20



Below is crystalline Tl3ZnH5 at its relaxed geometry, with properties calculated at the GGA-PBE level.

VASP energy = -2.546 eV/atom

a = 7.6101 Å, b = 7.6101 Å, c = 7.6101 Å
α = 123.89°, β = 123.89°, γ = 83.39°
Closest atoms and distances in Å follow each position.
Sites, in units of the cell vectors:
Tl 0.1932 0.6932 0.8864  4 H 2.56-2.60
Tl 0.2500 0.2500 0.0000  10 H 2.84-2.96
Tl 0.3068 0.1932 0.5000  4 H 2.56-2.60
Tl 0.6932 0.8068 0.5000  4 H 2.56-2.60
Tl 0.7500 0.7500 0.0000  10 H 2.84-2.96
Tl 0.8068 0.3068 0.1136  4 H 2.56-2.60
Zn 0.2500 0.7500 0.5000  4 H 1.67
Zn 0.7500 0.2500 0.5000  4 H 1.67
H 0.0000 0.0000 0.0000  6 Tl 2.60-2.84
H 0.0303 0.7977 0.5000  1 Zn 1.67
H 0.2023 0.7023 0.2326  1 Zn 1.67
H 0.2977 0.5303 0.5000  1 Zn 1.67
H 0.4697 0.9697 0.7674  1 Zn 1.67
H 0.5000 0.5000 0.0000  6 Tl 2.60-2.84
H 0.5303 0.0303 0.2326  1 Zn 1.67
H 0.7023 0.4697 0.5000  1 Zn 1.67
H 0.7977 0.2977 0.7674  1 Zn 1.67
H 0.9697 0.2023 0.5000  1 Zn 1.67



Below is crystalline TmH at its relaxed geometry, with properties calculated at the GGA-PBE level.

VASP energy = -4.244 eV/atom
total magnetic moment = 0.00 μB per cell

a = 3.4081 Å, b = 3.4081 Å, c = 3.4081 Å
α = 60.00°, β = 60.00°, γ = 60.00°
Closest atoms and distances in Å follow each position.
Sites, in units of the cell vectors:
Tm 0.0000 0.0000 0.0000  6 H 2.41
H 0.5000 0.5000 0.5000  6 Tm 2.41



Below is crystalline TmH2 at its relaxed geometry, with properties calculated at the GGA-PBE level.

VASP energy = -3.561 eV/atom
total magnetic moment = 1.98 μB per cell

a = 6.3262 Å, b = 6.3262 Å, c = 6.3262 Å
α = 60.00°, β = 60.00°, γ = 60.00°
Closest atoms and distances in Å follow each position.
Sites, in units of the cell vectors:
Tm 0.1250 0.1250 0.1250  4 H 1.94
Tm 0.8750 0.8750 0.8750  4 H 1.94
H 0.0000 0.0000 0.0000  2 Tm 1.94
H 0.0000 0.0000 0.5000  2 Tm 1.94
H 0.0000 0.5000 0.0000  2 Tm 1.94
H 0.5000 0.0000 0.0000  2 Tm 1.94



Below is crystalline TmH3 at its relaxed geometry, with properties calculated at the GGA-PBE level.

VASP energy = -3.856 eV/atom
total magnetic moment = 0.00 μB per cell

a = 6.0667 Å, b = 6.0667 Å, c = 6.0667 Å
α = 44.06°, β = 44.06°, γ = 44.06°
Closest atoms and distances in Å follow each position.
Sites, in units of the cell vectors:
Tm 0.0000 0.0000 0.0000  6 H 2.08
Tm 0.5000 0.5000 0.5000  6 H 2.08
H 0.0609 0.7500 0.4391  2 Tm 2.08
H 0.2500 0.5609 0.9391  2 Tm 2.08
H 0.4391 0.0609 0.7500  2 Tm 2.08
H 0.5609 0.9391 0.2500  2 Tm 2.08
H 0.7500 0.4391 0.0609  2 Tm 2.08
H 0.9391 0.2500 0.5609  2 Tm 2.08



Below is crystalline TmH at its relaxed geometry, with properties calculated at the GGA-PBE level.

VASP energy = -4.338 eV/atom
total magnetic moment = 0.00 μB per cell

a = 3.5800 Å, b = 3.5800 Å, c = 3.5800 Å
α = 60.00°, β = 60.00°, γ = 60.00°
Closest atoms and distances in Å follow each position.
Sites, in units of the cell vectors:
Tm 0.0000 0.0000 0.0000  4 H 2.19
H 0.2500 0.2500 0.2500  4 Tm 2.19



Below is crystalline Tm5H at its relaxed geometry, with properties calculated at the GGA-PBE level.

VASP energy = -3.266 eV/atom
total magnetic moment = 0.84 μB per cell

a = 6.3354 Å, b = 6.3354 Å, c = 5.8517 Å
α = 90.00°, β = 90.00°, γ = 120.00°
Closest atoms and distances in Å follow each position.
Sites, in units of the cell vectors:
Tm 0.0000 0.5000 0.0000  8 Tm 3.17-3.45
Tm 0.3333 0.6667 0.5000  9 Tm 3.45-3.66, 3 H 3.66
Tm 0.5000 0.0000 0.0000  8 Tm 3.17-3.45
Tm 0.5000 0.5000 0.0000  8 Tm 3.17-3.45
Tm 0.6667 0.3333 0.5000  9 Tm 3.45-3.66, 3 H 3.66
H 0.0000 0.0000 0.5000  6 Tm 3.66



Below is crystalline TmH at its relaxed geometry, with properties calculated at the GGA-PBE level.

VASP energy = -4.041 eV/atom
total magnetic moment = 0.00 μB per cell

a = 3.2501 Å, b = 3.2501 Å, c = 3.1954 Å
α = 90.00°, β = 90.00°, γ = 120.00°
Closest atoms and distances in Å follow each position.
Sites, in units of the cell vectors:
Tm 0.0000 0.0000 0.0000  6 H 2.46
H 0.3333 0.6667 0.5000  6 Tm 2.46



Below is crystalline YTmH4 at its relaxed geometry, with properties calculated at the GGA-PBE level.

VASP energy = -4.773 eV/atom
total magnetic moment = 0.00 μB per cell

a = 3.6167 Å, b = 3.6167 Å, c = 5.1032 Å
α = 90.00°, β = 90.00°, γ = 90.00°
Closest atoms and distances in Å follow each position.
Sites, in units of the cell vectors:
Y 0.0000 0.0000 0.0000  8 H 2.23
Tm 0.5000 0.5000 0.5000  8 H 2.19
H 0.0000 0.5000 0.2564  2 Tm 2.19, 2 Y 2.23
H 0.0000 0.5000 0.7436  2 Tm 2.19, 2 Y 2.23
H 0.5000 0.0000 0.2564  2 Tm 2.19, 2 Y 2.23
H 0.5000 0.0000 0.7436  2 Tm 2.19, 2 Y 2.23



Below is crystalline UH at its relaxed geometry, with properties calculated at the GGA-PBE level.

VASP energy = -7.147 eV/atom
total magnetic moment = 2.15 μB per cell

a = 3.0352 Å, b = 3.0352 Å, c = 3.2448 Å
α = 90.00°, β = 90.00°, γ = 120.00°
Closest atoms and distances in Å follow each position.
Sites, in units of the cell vectors:
U 0.0000 0.0000 0.0000  6 H 2.39
H 0.3333 0.6667 0.5000  6 U 2.39



Below is crystalline UH at its relaxed geometry, with properties calculated at the GGA-PBE level.

VASP energy = -7.184 eV/atom
total magnetic moment = 5.66 μB per cell

a = 3.7461 Å, b = 3.7461 Å, c = 4.3636 Å
α = 90.00°, β = 90.00°, γ = 120.00°
Closest atoms and distances in Å follow each position.
Sites, in units of the cell vectors:
U 0.3333 0.6667 0.2500  6 H 2.42
U 0.6667 0.3333 0.7500  6 H 2.42
H 0.0000 0.0000 0.0000  2 H 2.18, 6 U 2.42
H 0.0000 0.0000 0.5000  2 H 2.18, 6 U 2.42



Below is crystalline UH3 at its relaxed geometry, with properties calculated at the GGA-PBE level.

VASP energy = -5.624 eV/atom
total magnetic moment = 21.45 μB per cell

a = 6.5366 Å, b = 6.5366 Å, c = 6.5366 Å
α = 90.00°, β = 90.00°, γ = 90.00°
Closest atoms and distances in Å follow each position.
Sites, in units of the cell vectors:
U 0.0000 0.0000 0.0000  12 H 2.24
U 0.0000 0.2500 0.5000  12 H 2.28-2.31
U 0.0000 0.7500 0.5000  12 H 2.28-2.31
U 0.2500 0.5000 0.0000  12 H 2.28-2.31
U 0.5000 0.0000 0.2500  12 H 2.28-2.31
U 0.5000 0.0000 0.7500  12 H 2.28-2.31
U 0.5000 0.5000 0.5000  12 H 2.24
U 0.7500 0.5000 0.0000  12 H 2.28-2.31
H 0.0000 0.3050 0.1555  3 H 2.03-2.18, 1 U 2.24
H 0.0000 0.3050 0.8445  3 H 2.03-2.18, 1 U 2.24
H 0.0000 0.6950 0.1555  3 H 2.03-2.18, 1 U 2.24
H 0.0000 0.6950 0.8445  3 H 2.03-2.18, 1 U 2.24
H 0.1555 0.0000 0.3050  3 H 2.03-2.18, 1 U 2.24
H 0.1555 0.0000 0.6950  3 H 2.03-2.18, 1 U 2.24
H 0.1950 0.5000 0.3445  3 H 2.03-2.18, 1 U 2.24
H 0.1950 0.5000 0.6555  3 H 2.03-2.18, 1 U 2.24
H 0.3050 0.1555 0.0000  3 H 2.03-2.18, 1 U 2.24
H 0.3050 0.8445 0.0000  3 H 2.03-2.18, 1 U 2.24
H 0.3445 0.1950 0.5000  3 H 2.03-2.18, 1 U 2.24
H 0.3445 0.8050 0.5000  3 H 2.03-2.18, 1 U 2.24
H 0.5000 0.3445 0.1950  3 H 2.03-2.18, 1 U 2.24
H 0.5000 0.3445 0.8050  3 H 2.03-2.18, 1 U 2.24
H 0.5000 0.6555 0.1950  3 H 2.03-2.18, 1 U 2.24
H 0.5000 0.6555 0.8050  3 H 2.03-2.18, 1 U 2.24
H 0.6555 0.1950 0.5000  3 H 2.03-2.18, 1 U 2.24
H 0.6555 0.8050 0.5000  3 H 2.03-2.18, 1 U 2.24
H 0.6950 0.1555 0.0000  3 H 2.03-2.18, 1 U 2.24
H 0.6950 0.8445 0.0000  3 H 2.03-2.18, 1 U 2.24
H 0.8050 0.5000 0.3445  3 H 2.03-2.18, 1 U 2.24
H 0.8050 0.5000 0.6555  3 H 2.03-2.18, 1 U 2.24
H 0.8445 0.0000 0.3050  3 H 2.03-2.18, 1 U 2.24
H 0.8445 0.0000 0.6950  3 H 2.03-2.18, 1 U 2.24



Below is crystalline UH at its relaxed geometry, with properties calculated at the GGA-PBE level.

VASP energy = -7.074 eV/atom
total magnetic moment = 2.41 μB per cell

a = 3.0482 Å, b = 3.0482 Å, c = 5.9141 Å
α = 90.00°, β = 90.00°, γ = 120.00°
Closest atoms and distances in Å follow each position.
Sites, in units of the cell vectors:
U 0.0000 0.0000 0.0000  6 H 2.30
U 0.0000 0.0000 0.5000  6 H 2.30
H 0.3333 0.6667 0.2500  6 U 2.30
H 0.6667 0.3333 0.7500  6 U 2.30



Below is crystalline UH at its relaxed geometry, with properties calculated at the GGA-PBE level.

VASP energy = -7.187 eV/atom
total magnetic moment = 2.18 μB per cell

a = 3.3683 Å, b = 3.3683 Å, c = 3.3683 Å
α = 60.00°, β = 60.00°, γ = 60.00°
Closest atoms and distances in Å follow each position.
Sites, in units of the cell vectors:
U 0.0000 0.0000 0.0000  6 H 2.38
H 0.5000 0.5000 0.5000  6 U 2.38